The following is a DFT calculation (PBE-GGA) of a geometry-optimized Np3NiHg3S8 structure.

Output
The total energy is -5.92 eV/atom. The value obtained for the calculated volume is 484.11 Å³ per cell. The symmetry is R-3m (166).

a b c (Å): 10.592 10.592 10.592
angles (deg): 42.14 42.14 42.14
Sites, in units of the cell vectors:
Np 0.000 0.500 0.500
Np 0.500 0.000 0.500
Np 0.500 0.500 0.000
Ni 0.000 0.000 0.000
Hg 0.000 0.000 0.500
Hg 0.000 0.500 0.000
Hg 0.500 0.000 0.000
S 0.203 0.203 0.734
S 0.203 0.734 0.203
S 0.266 0.797 0.797
S 0.283 0.283 0.283
S 0.717 0.717 0.717
S 0.734 0.203 0.203
S 0.797 0.266 0.797
S 0.797 0.797 0.266